Here is crystalline HfFeF2 at its relaxed geometry from Alexandria. Energies are from PBE+U.

a b c (Å): 4.237 4.237 4.237
angles (deg): 60.00 60.00 60.00
Site moments in Bohr magnetons follow the coordinates.
Element x y z (fractional)
1 Fe 0.000 0.000 0.000  3.11
2 F 0.750 0.750 0.750  0.01
3 Hf 0.500 0.500 0.500  -0.67
4 F 0.250 0.250 0.250  0.01

* SG: Fm-3m
* E: -5.69 eV per atom
* relative energy among the computed polymorphs: 550 meV per atom